This record from Alexandria via LeMat-Bulk describes a relaxed CrPPdS2 crystal. The functional is GGA-PBE.

Lattice parameters (Å, degrees): 4.407 4.407 4.508 90.00 90.00 90.00
Space group P4/mmm (No. 123)
Inequivalent atoms, fractional coordinates:
Cr (0.000, 0.000, 0.000) [1 per cell]
P (0.000, 0.000, 0.500) [1 per cell]
Pd (0.500, 0.500, 0.500) [1 per cell]
S (0.000, 0.500, 0.000) [2 per cell]

Properties
- ΔE_f (raw) (eV per formula unit) = 2.13
- M_tot (μB per cell) = 0.000
- DOS at the Fermi energy (states/eV/atom) = 0.883
- V (Å³/f.u.) = 88
- offset from the most stable computed form (eV/atom) = 0.0000